VASP calculation (GGA-PBE) on a geometry-optimized Mg2BeAgTe structure.

For the energy relative to the elements, uncorrected, the calculation gives 0.1960 eV per atom. As for the space group: P4/mmm (123). The density of states at the Fermi level comes out at 0.561 states/eV per atom. The calculation puts the total energy at -2.39 eV per atom. The calculation puts the calculated volume at 109 Å³/f.u.

Cell lengths 4.957, 4.448, 4.957 Å; angles 90.00, 90.00, 90.00 degrees
Positions (direct):
1 Be 0.000 0.000 0.000
2 Mg 0.000 0.000 0.500
3 Mg 0.500 0.000 0.000
4 Te 0.500 0.500 0.500
5 Ag 0.000 0.500 0.000

---

VASP calculation (GGA-PBE) on a geometry-optimized MgTi2BeAg structure.

As for the space group: P4/mmm (123). The density of states at the Fermi level comes out at 1.569 states/eV per atom. The calculation puts the total energy at -3.58 eV per atom. The calculation puts the calculated volume at 115 Å³/f.u. As for the formation energy: 117 kJ/mol of atoms.

Cell lengths 4.883, 4.823, 4.883 Å; angles 90.00, 90.00, 90.00 degrees
Positions (direct):
1 Be 0.500 0.500 0.500
2 Mg 0.000 0.500 0.000
3 Ag 0.000 0.000 0.000
4 Ti 0.000 0.000 0.500
5 Ti 0.500 0.000 0.000

---

VASP calculation (GGA-PBE) on a geometry-optimized TmMgBeAg structure.

As for the space group: F-43m (216). The density of states at the Fermi level comes out at 0.241 states/eV per atom. The calculation puts the total energy at -3.22 eV per atom. The calculation puts the calculated volume at 76 Å³/f.u. As for the formation energy: -5 kJ/mol of atoms.

Cell lengths 4.747, 4.747, 4.747 Å; angles 60.00, 60.00, 60.00 degrees
Positions (direct):
1 Be 0.750 0.750 0.750
2 Mg 0.000 0.000 0.000
3 Tm 0.500 0.500 0.500
4 Ag 0.250 0.250 0.250

---

VASP calculation (GGA-PBE) on a geometry-optimized YMgBeAg structure.

As for the space group: F-43m (216). The density of states at the Fermi level comes out at 0.367 states/eV per atom. The calculation puts the total energy at -3.73 eV per atom. The calculation puts the calculated volume at 78 Å³/f.u. As for the formation energy: -6 kJ/mol of atoms.

Cell lengths 4.798, 4.798, 4.798 Å; angles 60.00, 60.00, 60.00 degrees
Positions (direct):
1 Y 0.000 0.000 0.000
2 Be 0.250 0.250 0.250
3 Mg 0.500 0.500 0.500
4 Ag 0.750 0.750 0.750